Run a
LaAl3Ir: optimized geometry, PBE.

Properties
Symmetry: Pm-3m, No. 221

```
LaAl3Ir
1.0
5.309 0.000 0.000
0.000 5.309 0.000
0.000 0.000 5.309
Ir Al La
1 3 1
direct
0.500 0.500 0.500
0.000 0.500 0.000
0.000 0.000 0.500
0.500 0.000 0.000
0.000 0.000 0.000
```

Run b
LaAl3Ir: optimized geometry, PBE.

Properties
Symmetry: Pm-3m, No. 221

```
LaAl3Ir
1.0
4.773 0.000 0.000
0.000 4.773 0.000
0.000 0.000 4.773
Ir Al La
1 3 1
direct
0.000 0.000 0.000
0.000 0.500 0.000
0.000 0.000 0.500
0.500 0.000 0.000
0.500 0.500 0.500
```

Pick run b: it beats the second-best structure by 247.1 kJ/mol of atoms.

Run a
LaAlIr2O: optimized geometry, PBE.

Properties
Symmetry: P4/mmm, No. 123

```
LaAlIr2O
1.0
-1.330 4.630 -0.625
0.406 -0.363 -3.554
-4.640 -1.385 -0.388
Ir Al O La
2 1 1 1
direct
0.000 0.000 0.500
0.500 0.000 0.000
0.000 0.500 0.000
0.000 0.000 0.000
0.500 0.500 0.500
```

Run b
LaAlIr2O: optimized geometry, PBE.

Properties
Symmetry: P4/mmm, No. 123

```
LaAlIr2O
1.0
-2.563 -1.429 3.243
0.776 -4.351 -1.304
3.467 -0.179 2.661
Ir Al O La
2 1 1 1
direct
0.000 0.000 0.500
0.500 0.000 0.000
0.500 0.500 0.500
0.000 0.000 0.000
0.000 0.500 0.000
```

Pick run a: it beats the second-best structure by 20.8 kJ/mol of atoms.

Run a
La2AlSnIr: optimized geometry, PBE.

Properties
Symmetry: P4/mmm, No. 123

```
La2AlSnIr
1.0
5.535 0.000 0.000
0.000 5.535 0.000
0.000 0.000 4.827
Al Ir Sn La
1 1 1 2
direct
0.000 0.000 0.500
0.000 0.000 0.000
0.500 0.500 0.500
0.000 0.500 0.000
0.500 0.000 0.000
```

Run b
La2AlSnIr: optimized geometry, PBE.

Properties
Symmetry: P4/mmm, No. 123

```
La2AlSnIr
1.0
5.932 0.000 0.000
0.000 4.765 0.000
0.000 0.000 5.932
Al Ir Sn La
1 1 1 2
direct
0.000 0.500 0.000
0.500 0.500 0.500
0.000 0.000 0.000
0.000 0.000 0.500
0.500 0.000 0.000
```

Pick run a: it beats the second-best structure by 128.0 kJ/mol of atoms.